! Y3Zn4Ni2 PBE optimized geometry; values from VASP
! space group	C2/m, No. 12
! calculated total energy	-39.593	eV/f.u.
! E_form	-394	meV/atom
! N(E_F)	0.752	states/eV per atom
&SYSTEM
  ibrav = 0, nat = 9, ntyp = 3
/
ATOMIC_SPECIES
Y 88.91 Y.upf
Zn 65.41 Zn.upf
Ni 58.69 Ni.upf
CELL_PARAMETERS angstrom
5.287 -2.146 0.000
5.287 2.146 0.000
-3.274 0.000 7.617
ATOMIC_POSITIONS angstrom
Y 0.000 0.000 0.000
Y 2.213 0.000 2.696
Y 5.086 0.000 4.921
Zn -0.832 0.000 2.815
Zn -0.099 0.000 7.187
Zn 7.399 0.000 0.430
Zn 8.131 0.000 4.802
Ni 1.845 0.000 5.594
Ni 5.455 0.000 2.023